VASP calculation (GGA-PBE) on crystalline SiPt5 at its relaxed geometry.

CIF file:
```
data_SiPt5
_cell_length_a 5.250
_cell_length_b 5.250
_cell_length_c 5.250
_cell_angle_alpha 60.00
_cell_angle_beta 60.00
_cell_angle_gamma 60.00
_space_group_name_H-M_alt 'P 1'
_space_group_IT_number 1
_space_group_name_Hall 'P 1'
loop_
_atom_site_label
_atom_site_type_symbol
_atom_site_fract_x
_atom_site_fract_y
_atom_site_fract_z
Pt1 Pt 0.250 0.250 0.250
Pt2 Pt 0.625 0.625 0.625
Pt3 Pt 0.625 0.126 0.625
Pt4 Pt 0.625 0.625 0.126
Pt5 Pt 0.126 0.625 0.625
Si1 Si 0.000 0.000 0.000
```

Calculated values
Total magnetic moment   0.00 Bohr magnetons per cell
Polymorph energy (0 for the lowest one)   0.5887 eV/atom
SG   No. 216
Energy relative to the elements, uncorrected   178 kJ/mol of formula units